## GdLuNiPd (PBE)

Data for GdLuNiPd after structural relaxation.

Lattice parameters (Å, degrees): 4.8608 4.8608 4.8608 60.00 60.00 60.00
Atoms (fractional coordinates):
Gd (0.7500, 0.7500, 0.7500)
Lu (0.2500, 0.2500, 0.2500)
Ni (0.5000, 0.5000, 0.5000)
Pd (0.0000, 0.0000, 0.0000)

Summary:
Energy of formation from the pure elements: -2.5 eV per formula unit
SG: No. 216
Crystal system: cubic
M_tot: 7.21 μB per formula unit

***

## PuIn12Hg6 (PBE)

Data for PuIn12Hg6 after structural relaxation.

Lattice parameters (Å, degrees): 8.0264 8.0263 8.0263 92.75 87.25 87.25
Atoms (fractional coordinates):
Hg (0.1373, 0.7298, 0.2494)
Hg (0.8627, 0.2702, 0.7506)
Hg (0.2494, 0.1373, 0.2702)
Hg (0.2702, 0.2494, 0.8626)
Hg (0.7298, 0.7506, 0.1374)
Hg (0.7506, 0.8627, 0.7298)
In (0.1513, 0.9453, 0.6140)
In (0.7977, 0.5294, 0.4888)
In (0.2023, 0.4706, 0.5112)
In (0.9453, 0.3860, 0.1513)
In (0.0547, 0.6140, 0.8487)
In (0.6140, 0.1513, 0.0547)
In (0.3860, 0.8487, 0.9453)
In (0.8487, 0.0547, 0.3860)
In (0.4706, 0.4888, 0.2023)
In (0.5294, 0.5112, 0.7977)
In (0.5112, 0.2023, 0.5294)
In (0.4888, 0.7977, 0.4706)
Pu (0.0000, 0.0000, 0.0000)

Summary:
Energy of formation from the pure elements: 0.2 eV per formula unit
SG: No. 148
Crystal system: trigonal
M_tot: 5.75 μB per formula unit

***

## NdZnAu3 (PBE)

Data for NdZnAu3 after structural relaxation.

Lattice parameters (Å, degrees): 4.8869 9.1228 9.3104 90.00 90.00 90.00
Atoms (fractional coordinates):
Nd (0.7500, 0.2627, 0.5043)
Nd (0.7500, 0.7627, 0.9957)
Nd (0.2500, 0.7373, 0.4957)
Nd (0.2500, 0.2373, 0.0043)
Au (0.7500, 0.4221, 0.8851)
Au (0.7500, 0.1064, 0.8464)
Au (0.2500, 0.5779, 0.1149)
Au (0.7500, 0.1118, 0.1613)
Au (0.7500, 0.6118, 0.3387)
Au (0.2500, 0.3936, 0.3464)
Au (0.2500, 0.3882, 0.6613)
Au (0.2500, 0.0779, 0.3851)
Au (0.2500, 0.8882, 0.8387)
Au (0.7500, 0.9221, 0.6149)
Au (0.2500, 0.8936, 0.1536)
Au (0.7500, 0.6064, 0.6536)
Zn (0.7500, 0.8994, 0.3353)
Zn (0.2500, 0.1006, 0.6647)
Zn (0.2500, 0.6006, 0.8353)
Zn (0.7500, 0.3994, 0.1647)

Summary:
Energy of formation from the pure elements: -2.8 eV per formula unit
SG: No. 62
Crystal system: orthorhombic
M_tot: 0.00 μB per formula unit

***

## NiHSe3 (PBE)

Data for NiHSe3 after structural relaxation.

Lattice parameters (Å, degrees): 4.7260 4.7260 4.7260 90.00 90.00 90.00
Atoms (fractional coordinates):
Ni (0.0000, 0.0000, 0.0000)
Se (0.0000, 0.0000, 0.5000)
Se (0.5000, 0.0000, 0.0000)
Se (0.0000, 0.5000, 0.0000)
H (0.5000, 0.5000, 0.5000)

Summary:
SG: No. 221
Crystal system: cubic
M_tot: 1.08 μB per formula unit
Energy: -3.106 eV per atom

***

## Sr2SnGe3Au4 (PBE)

Data for Sr2SnGe3Au4 after structural relaxation.

Lattice parameters (Å, degrees): 4.5780 4.5780 11.0579 90.00 90.00 90.00
Atoms (fractional coordinates):
Au (0.0000, 0.5000, 0.3552)
Au (0.0000, 0.0000, 0.0000)
Au (0.5000, 0.5000, 0.0000)
Au (0.5000, 0.0000, 0.6448)
Ge (0.0000, 0.0000, 0.5000)
Ge (0.5000, 0.0000, 0.8753)
Ge (0.0000, 0.5000, 0.1247)
Sr (0.5000, 0.0000, 0.2372)
Sr (0.0000, 0.5000, 0.7628)
Sn (0.5000, 0.5000, 0.5000)

Summary:
Energy of formation from the pure elements: -5.1 eV per formula unit
SG: No. 115
Crystal system: tetragonal
M_tot: 0.00 μB per formula unit

***

## Ac3Hg5Pb (PBE)

Data for Ac3Hg5Pb after structural relaxation.

Lattice parameters (Å, degrees): 6.8717 9.6719 9.6725 120.00 90.00 90.00
Atoms (fractional coordinates):
Hg (0.7500, 0.3309, 0.0000)
Hg (0.7500, 0.6691, 0.6690)
Hg (0.5000, 0.6667, 0.3333)
Hg (0.5000, 0.3333, 0.6667)
Hg (0.2500, 0.9999, 0.6690)
Hg (0.0000, 0.3333, 0.6667)
Hg (0.7500, 0.0001, 0.3310)
Hg (0.0000, 0.6667, 0.3333)
Hg (0.2500, 0.3309, 0.3310)
Hg (0.2500, 0.6691, 0.0000)
Pb (0.0000, 0.0000, 0.0000)
Pb (0.5000, 0.0000, 0.0000)
Ac (0.2500, 0.9999, 0.3394)
Ac (0.7500, 0.6605, 0.0000)
Ac (0.2500, 0.3395, 0.0000)
Ac (0.7500, 0.0001, 0.6606)
Ac (0.2500, 0.6605, 0.6606)
Ac (0.7500, 0.3395, 0.3394)

Summary:
Energy of formation from the pure elements: -4.2 eV per formula unit
SG: No. 193
Crystal system: hexagonal
M_tot: 0.00 μB per formula unit

***

Q: M_tot of number 5 (Sr2SnGe3Au4)?
A: 0.00 μB per formula unit

***

Q: Which value of M_tot does entry 1 give?
A: 7.21 μB per formula unit